Record 1
VASP calculation (PBE-GGA) on an optimized crystal structure of AcCeDyPb.

Output
The calculation puts the final energy at -73.8 eV per cell. The value obtained for the calculated formation energy is -0.026 eV/atom.

Cell: 7.977 7.977 7.977 Å, 90.00 90.00 90.00°
Space group F-43m (No. 216)
Symmetry-distinct sites (fractional):
1 Ac 0.000 0.000 0.000 [4 per cell]
2 Ce 0.250 0.250 0.250 [4 per cell]
3 Dy 0.250 0.250 0.750 [4 per cell]
4 Pb 0.000 0.000 0.500 [4 per cell]

Record 2
VASP calculation (PBE-GGA) on an optimized crystal structure of ZnReBr2.

Output
The calculation puts the final energy at -14.9 eV per cell. Its formation energy without anion corrections is 0.537 eV/atom. The value obtained for the excess energy over the best structure of this formula in the dataset is 0.350 eV per atom.

Cell: 3.172 3.172 8.179 Å, 90.00 90.00 90.00°
Space group P4mm (No. 99)
Symmetry-distinct sites (fractional):
1 Zn 0.000 0.000 0.000 [1 per cell]
2 Re 0.500 0.500 0.786 [1 per cell]
3 Br 0.000 0.000 0.611 [1 per cell]
4 Br 0.500 0.500 0.202 [1 per cell]

Record 3
VASP calculation (PBE-GGA) on an optimized crystal structure of TlCoN2.

Output
The calculation puts the final energy at -63.7 eV per cell. Its formation energy without anion corrections is 1.226 eV/atom. The value obtained for the excess energy over the best structure of this formula in the dataset is 0.613 eV per atom.

Cell: 3.4646 3.4646 17.9037 Å, 90.00 90.00 120.00°
Space group R-3m (No. 166, hexagonal axes)
Symmetry-distinct sites (fractional):
1 Tl 0.0000 0.0000 0.0000 [3 per cell]
2 Co 0.0000 0.0000 0.5000 [3 per cell]
3 N 0.0000 0.0000 0.4039 [6 per cell]

Record 4
VASP calculation (PBE-GGA) on an optimized crystal structure of FeAsPb2.

Output
The calculation puts the final energy at -39.3 eV per cell. The value obtained for the calculated formation energy is 0.218 eV/atom.

Cell: 4.149 4.346 10.453 Å, 90.00 90.00 90.00°
Space group Amm2 (No. 38)
Symmetry-distinct sites (fractional):
1 Fe 0.000 0.000 0.000 [2 per cell]
2 As 0.500 0.000 0.117 [2 per cell]
3 Pb 0.000 0.000 0.709 [2 per cell]
4 Pb 0.500 0.000 0.410 [2 per cell]